(1)
A plane-wave DFT calculation with PBE was carried out for a relaxed ThSiTc2H crystal.

Structure (CIF):
```
data_ThSiTc2H
_symmetry_space_group_name_H-M 'C m c m'
_symmetry_Int_Tables_number 63
_symmetry_space_group_name_Hall '-C 2c 2'
_cell_length_a 3.399
_cell_length_b 11.294
_cell_length_c 7.896
_cell_angle_alpha 90.00
_cell_angle_beta 90.00
_cell_angle_gamma 90.00
loop_
_atom_site_label
_atom_site_type_symbol
_atom_site_fract_x
_atom_site_fract_y
_atom_site_fract_z
Th1 Th 0.000 0.051 0.250
Si1 Si 0.000 0.229 0.750
Tc1 Tc 0.000 0.342 0.048
H1 H 0.000 0.500 0.000
```

(2)
A plane-wave DFT calculation with PBE was carried out for a relaxed ThSiTcH2 crystal.

Structure (CIF):
```
data_ThSiTcH2
_symmetry_space_group_name_H-M 'C m c m'
_symmetry_Int_Tables_number 63
_symmetry_space_group_name_Hall '-C 2c 2'
_cell_length_a 3.990
_cell_length_b 10.679
_cell_length_c 6.045
_cell_angle_alpha 90.00
_cell_angle_beta 90.00
_cell_angle_gamma 90.00
loop_
_atom_site_label
_atom_site_type_symbol
_atom_site_fract_x
_atom_site_fract_y
_atom_site_fract_z
Th1 Th 0.000 0.202 0.250
Si1 Si 0.000 0.076 0.750
Tc1 Tc 0.000 0.500 0.000
H1 H 0.000 0.336 0.561
```

(3)
A plane-wave DFT calculation with PBE was carried out for a relaxed ThSiTcH crystal.

Structure (CIF):
```
data_ThSiTcH
_symmetry_space_group_name_H-M 'P 4/n m m'
_symmetry_Int_Tables_number 129
_cell_length_a 4.238
_cell_length_b 4.238
_cell_length_c 7.226
_cell_angle_alpha 90.00
_cell_angle_beta 90.00
_cell_angle_gamma 90.00
loop_
_symmetry_equiv_pos_as_xyz
'x,y,z'
'-x,-y,-z'
'-y+1/2,x,z'
'y+1/2,-x,-z'
'-x+1/2,-y+1/2,z'
'x+1/2,y+1/2,-z'
'y,-x+1/2,z'
'-y,x+1/2,-z'
'x+1/2,-y,-z'
'-x+1/2,y,z'
'-y,-x,-z'
'y,x,z'
'-x,y+1/2,-z'
'x,-y+1/2,z'
'y+1/2,x+1/2,-z'
'-y+1/2,-x+1/2,z'
loop_
_atom_site_label
_atom_site_type_symbol
_atom_site_fract_x
_atom_site_fract_y
_atom_site_fract_z
Th1 Th 0.250 0.250 0.175
Si1 Si 0.250 0.250 0.671
Tc1 Tc 0.250 0.750 0.500
H1 H 0.250 0.750 0.000
```

(4)
A plane-wave DFT calculation with PBE was carried out for a relaxed Tm2Si2Tc2H crystal.

Structure (CIF):
```
data_Tm2Si2Tc2H
_symmetry_space_group_name_H-M 'I 4/m m m'
_symmetry_Int_Tables_number 139
_symmetry_space_group_name_Hall '-I 4 2'
_cell_length_a 4.064
_cell_length_b 4.064
_cell_length_c 13.853
_cell_angle_alpha 90.00
_cell_angle_beta 90.00
_cell_angle_gamma 90.00
loop_
_atom_site_label
_atom_site_type_symbol
_atom_site_fract_x
_atom_site_fract_y
_atom_site_fract_z
Tm1 Tm 0.000 0.000 0.163
Si1 Si 0.000 0.000 0.387
Tc1 Tc 0.000 0.500 0.000
H1 H 0.000 0.000 0.000
```

Final energy, record by record: -155.93, -130.73, -58.11, -96.30 eV per cell